# 1
The following is a DFT calculation (PBE) of a relaxed BaZr2Cu crystal.

Results
energy above the most stable polymorph in this dataset	187	meV per atom
E_tot	-21.793	eV per cell
energy of formation from the pure elements	330	meV per atom

extended XYZ file:
```
4
Lattice="3.411 0.000 0.000 0.000 3.411 0.000 0.000 0.000 8.836" Properties=species:S:1:pos:R:3 pbc="T T T"
Ba 0.000 0.000 0.000
Zr 1.706 1.706 2.944
Zr 1.706 1.706 5.892
Cu 0.000 0.000 4.418
```

=====

# 2
The following is a DFT calculation (PBE) of a relaxed HoTmMgZn crystal.

Results
energy above the most stable polymorph in this dataset	33	meV per atom
E_tot	-12.607	eV per cell
energy of formation from the pure elements	-172	meV per atom

extended XYZ file:
```
4
Lattice="0.000 3.641 3.641 3.641 0.000 3.641 3.641 3.641 0.000" Properties=species:S:1:pos:R:3 pbc="T T T"
Ho 0.000 0.000 0.000
Tm 3.641 3.641 3.641
Mg 1.821 1.821 1.821
Zn 5.462 5.462 5.462
```

=====

# 3
The following is a DFT calculation (PBE) of a relaxed CsRb2U3Se8 crystal.

Results
raw formation energy	-115	kJ/mol of atoms
E_tot	-81.219	eV per cell

extended XYZ file:
```
14
Lattice="4.299 2.482 8.405 -4.299 2.482 8.405 0.000 -4.964 8.405" Properties=species:S:1:pos:R:3 pbc="T T T"
Cs 0.000 0.000 0.000
Rb 0.000 0.000 9.142
Rb 0.000 0.000 18.374
U 0.000 -2.476 13.344
U -2.144 1.238 13.344
U 2.144 1.238 13.344
Se 0.000 -2.212 6.414
Se -1.915 1.106 6.414
Se 0.000 0.000 3.469
Se -1.933 -1.116 11.853
Se 1.915 1.106 6.414
Se 0.000 0.000 14.873
Se 1.933 -1.116 11.853
Se 0.000 2.232 11.853
```

=====

# 4
The following is a DFT calculation (PBE) of a relaxed SiTc3Br crystal.

Results
energy above the most stable polymorph in this dataset	0	meV per atom
raw formation energy	126	kJ/mol of atoms
E_tot	-31.666	eV per cell

extended XYZ file:
```
5
Lattice="4.528 0.000 0.000 0.000 4.528 0.000 0.000 0.000 4.528" Properties=species:S:1:pos:R:3 pbc="T T T"
Si 0.000 0.000 0.000
Tc 0.000 0.000 2.264
Tc 0.000 2.264 0.000
Tc 2.264 0.000 0.000
Br 2.264 2.264 2.264
```

=====

# 5
The following is a DFT calculation (PBE) of a relaxed Sm2TmH8 crystal.

Results
E_tot	-47.347	eV per cell

extended XYZ file:
```
11
Lattice="-1.861 2.577 5.572 1.861 -2.577 5.572 1.861 2.577 -5.572" Properties=species:S:1:pos:R:3 pbc="T T T"
Sm 0.000 0.000 1.872
Sm 0.000 0.000 9.272
Tm 0.000 0.000 5.572
H 1.861 1.268 -1.727
H 0.000 1.278 0.000
H 1.861 0.000 3.734
H 1.861 1.268 1.727
H 0.000 1.309 3.845
H 0.000 2.577 1.838
H 0.000 3.875 0.000
H 0.000 1.309 7.299
```

=====

# 6
The following is a DFT calculation (PBE) of a relaxed BeCd3Re crystal.

Results
energy above the most stable polymorph in this dataset	393	meV per atom
E_tot	-11.088	eV per cell
energy of formation from the pure elements	1566	meV per atom

extended XYZ file:
```
5
Lattice="5.313 0.000 0.000 0.000 5.313 0.000 0.000 0.000 5.313" Properties=species:S:1:pos:R:3 pbc="T T T"
Be 0.000 0.000 0.000
Cd 0.000 2.656 2.656
Cd 2.656 0.000 2.656
Cd 2.656 2.656 0.000
Re 2.656 2.656 2.656
```

=====

# 7
The following is a DFT calculation (PBE) of a relaxed CdSn2Ru crystal.

Results
energy above the most stable polymorph in this dataset	0	meV per atom
E_tot	-17.940	eV per cell
energy of formation from the pure elements	64	meV per atom

extended XYZ file:
```
4
Lattice="1.673 0.966 8.940 -1.673 0.966 8.940 0.000 -1.932 8.940" Properties=species:S:1:pos:R:3 pbc="T T T"
Cd 0.000 0.000 0.000
Sn 0.000 0.000 6.391
Sn 0.000 0.000 20.429
Ru 0.000 0.000 13.410
```

=====

# 8
The following is a DFT calculation (PBE) of a relaxed PmTl3Bi2Se6 crystal.

Results
raw formation energy	-73	kJ/mol of atoms
E_tot	-49.644	eV per cell

extended XYZ file:
```
12
Lattice="3.733 -6.464 0.000 3.733 6.464 0.000 -2.489 0.000 7.683" Properties=species:S:1:pos:R:3 pbc="T T T"
Pm 0.000 0.000 0.000
Tl 2.488 4.316 3.841
Tl 2.488 0.000 3.841
Tl 2.488 -4.316 3.841
Bi 3.733 2.151 0.000
Bi 3.733 -2.151 0.000
Se 1.242 2.149 1.642
Se -0.006 0.000 6.054
Se 1.242 -2.149 1.642
Se 3.734 2.149 6.041
Se 4.982 0.000 1.629
Se 3.734 -2.149 6.041
```